# Ca4Al

A relaxed structure of Ca4Al (GGA-PBE, the Alexandria database).

Summary:
Its space-group type is No. 227. Its crystal system is cubic. The calculation puts the formation enthalpy at 0 K at 0.342 eV per atom.

a b c (Å): 8.4726 8.4726 8.4726
angles (deg): 60.00 60.00 60.00
Element x y z (fractional)
Ca (0.3900, 0.8300, 0.3900)
Ca (0.4200, 0.8600, 0.8600)
Ca (0.8600, 0.8600, 0.4200)
Ca (0.3900, 0.3900, 0.8300)
Ca (0.3900, 0.3900, 0.3900)
Ca (0.8600, 0.8600, 0.8600)
Ca (0.8300, 0.3900, 0.3900)
Ca (0.8600, 0.4200, 0.8600)
Al (0.0000, 0.0000, 0.0000)
Al (0.2500, 0.2500, 0.2500)



# CaAl4

A relaxed structure of CaAl4 (GGA-PBE, the Alexandria database).

Summary:
Its space-group type is No. 229. Its crystal system is cubic. The calculation puts the formation enthalpy at 0 K at 0.834 eV per atom.

a b c (Å): 5.7478 5.7478 5.7478
angles (deg): 109.47 109.47 109.47
Element x y z (fractional)
Al (0.0000, 0.5000, 0.0000)
Al (0.5000, 0.5000, 0.5000)
Al (0.0000, 0.0000, 0.5000)
Al (0.5000, 0.0000, 0.0000)
Ca (0.0000, 0.0000, 0.0000)



# Ca5Al2

A relaxed structure of Ca5Al2 (GGA-PBE, the Alexandria database).

Summary:
Its space-group type is No. 72. Its crystal system is orthorhombic. The calculation puts the formation enthalpy at 0 K at -0.143 eV per atom.

a b c (Å): 7.1114 7.8788 9.5649
angles (deg): 114.32 111.82 90.00
Element x y z (fractional)
Ca (0.5176, 0.2676, 0.5351)
Ca (0.7500, 0.5000, 0.0000)
Ca (0.9173, 0.7681, 0.8345)
Ca (0.9824, 0.7324, 0.4649)
Ca (0.4173, 0.0664, 0.8345)
Ca (0.4824, 0.7324, 0.4649)
Ca (0.0176, 0.2676, 0.5351)
Ca (0.0827, 0.2319, 0.1655)
Ca (0.5827, 0.9336, 0.1655)
Ca (0.2500, 0.5000, 0.0000)
Al (0.6229, 0.3683, 0.2457)
Al (0.3771, 0.6317, 0.7543)
Al (0.1229, 0.8774, 0.2457)
Al (0.8771, 0.1226, 0.7543)



# CaAl

A relaxed structure of CaAl (GGA-PBE, the Alexandria database).

Summary:
Its space-group type is No. 227. Its crystal system is cubic. The calculation puts the formation enthalpy at 0 K at 0.064 eV per atom.

a b c (Å): 5.2080 5.2080 5.2080
angles (deg): 60.00 60.00 60.00
Element x y z (fractional)
Ca (0.7500, 0.7500, 0.7500)
Ca (0.5000, 0.5000, 0.5000)
Al (0.2500, 0.2500, 0.2500)
Al (0.0000, 0.0000, 0.0000)



# CaAl

A relaxed structure of CaAl (GGA-PBE, the Alexandria database).

Summary:
Its space-group type is No. 12. Its crystal system is monoclinic. The calculation puts the formation enthalpy at 0 K at -0.158 eV per atom.

a b c (Å): 3.2518 5.6679 6.0726
angles (deg): 106.98 105.53 90.00
Element x y z (fractional)
Al (0.6604, 0.8491, 0.3207)
Al (0.3396, 0.1509, 0.6793)
Ca (0.0971, 0.3160, 0.1943)
Ca (0.9029, 0.6840, 0.8057)



# Ca3Al

A relaxed structure of Ca3Al (GGA-PBE, the Alexandria database).

Summary:
Its space-group type is No. 139. Its crystal system is tetragonal. The calculation puts the formation enthalpy at 0 K at -0.060 eV per atom.

a b c (Å): 9.6731 9.6731 9.6731
angles (deg): 148.20 148.20 45.58
Element x y z (fractional)
Al (0.6353, 0.6353, 0.0000)
Al (0.3647, 0.3647, 0.0000)
Ca (0.5000, 0.0000, 0.5000)
Ca (0.2500, 0.7500, 0.5000)
Ca (0.8737, 0.8737, 0.0000)
Ca (0.7500, 0.2500, 0.5000)
Ca (0.0000, 0.5000, 0.5000)
Ca (0.1263, 0.1263, 0.0000)



# Ca3Al

A relaxed structure of Ca3Al (GGA-PBE, the Alexandria database).

Summary:
Its space-group type is No. 166. Its crystal system is trigonal. The calculation puts the formation enthalpy at 0 K at 0.022 eV per atom.

a b c (Å): 11.6817 11.6817 11.6817
angles (deg): 18.42 18.42 18.42
Element x y z (fractional)
Al (0.0000, 0.0000, 0.0000)
Ca (0.5000, 0.5000, 0.5000)
Ca (0.7366, 0.7366, 0.7366)
Ca (0.2634, 0.2634, 0.2634)



# CaAl5

A relaxed structure of CaAl5 (GGA-PBE, the Alexandria database).

Summary:
Its space-group type is No. 38. Its crystal system is orthorhombic. The calculation puts the formation enthalpy at 0 K at -0.011 eV per atom.

a b c (Å): 8.3148 8.3148 4.4934
angles (deg): 90.00 90.00 156.86
Element x y z (fractional)
Al (0.7919, 0.2081, 0.5000)
Al (0.6985, 0.3015, 0.0000)
Al (0.9692, 0.0308, 0.0000)
Al (0.3310, 0.6690, 0.0000)
Al (0.4337, 0.5663, 0.5000)
Ca (0.1090, 0.8910, 0.5000)



Across the entries above, density of states at the Fermi level takes the values 1.330; 1.112; 0.657; 1.044; 0.380; 0.924; 0.609; 0.461 states/eV/atom, respectively.
Across the entries above, raw total energy takes the values -2.0080; -2.5601; -2.6415; -2.8081; -3.0296; -2.4967; -2.4149; -3.4633 eV per atom, respectively.
Across the entries above, total magnetization takes the values 0.000; 0.000; 0.000; 0.000; 0.000; 0.000; 0.000; 0.000 μB per formula unit, respectively.